Pr6TmCd2 (GGA-PBE, optimized geometry); energy of formation = -0.1286 eV/atom; relative energy among the computed polymorphs = 0.000 eV per atom; total DFT energy (no corrections) = -4.02 eV per atom; density = 7.040 g/cm³; SG = C2/m, No. 12; magnetization = 0.0 μB per formula unit
1.0
-2.3046 -0.8024 -2.9706
3.1428 -4.8546 -3.6145
-4.7937 -10.3048 4.0148
Cd Tm Pr
2 1 6
Direct
0.3600 0.0872 0.1928 Cd
0.6400 0.9128 0.8072 Cd
0.0000 0.0000 0.0000 Tm
0.6899 0.2110 0.4092 Pr
0.0221 0.2908 0.6650 Pr
0.9779 0.7092 0.3350 Pr
0.6835 0.5104 0.1225 Pr
0.3165 0.4896 0.8775 Pr
0.3101 0.7890 0.5908 Pr

=====

Pr6Tm2Cd (GGA-PBE, optimized geometry); energy of formation = 0.0566 eV/atom; relative energy among the computed polymorphs = 0.068 eV per atom; total DFT energy (no corrections) = -4.23 eV per atom; density = 7.219 g/cm³; SG = C2/c, No. 15; magnetization = 0.0 μB per formula unit
1.0
5.6024 -0.5573 -2.8048
-1.9208 5.2922 -2.8047
3.2669 4.2017 15.8813
Cd Pr Tm
2 12 4
Direct
0.1742 0.8258 0.7500 Cd
0.8258 0.1742 0.2500 Cd
0.7668 0.0430 0.8402 Pr
0.3532 0.1920 0.9683 Pr
0.9700 0.3752 0.0862 Pr
0.1920 0.3532 0.4683 Pr
0.9570 0.2332 0.6598 Pr
0.6249 0.0300 0.4138 Pr
0.8080 0.6468 0.5317 Pr
0.0300 0.6248 0.9138 Pr
0.2332 0.9570 0.1598 Pr
0.6468 0.8080 0.0317 Pr
0.0430 0.7668 0.3402 Pr
0.3751 0.9700 0.5862 Pr
0.4317 0.4297 0.8225 Tm
0.5703 0.5683 0.6775 Tm
0.5683 0.5703 0.1775 Tm
0.4297 0.4317 0.3225 Tm

=====

Pr2Tm2Cd (GGA-PBE, optimized geometry); energy of formation = -0.1082 eV/atom; relative energy among the computed polymorphs = 0.000 eV per atom; total DFT energy (no corrections) = -3.99 eV per atom; density = 7.920 g/cm³; SG = I4/mmm, No. 139; magnetization = 0.0 μB per formula unit
1.0
-3.4163 1.1529 -0.2757
-0.8205 -1.6931 3.0881
4.8954 9.9438 4.6352
Tm Cd Pr
2 1 2
Direct
0.5837 0.5837 0.1673 Tm
0.4163 0.4163 0.8327 Tm
0.0000 0.0000 0.0000 Cd
0.1918 0.1918 0.3836 Pr
0.8082 0.8082 0.6164 Pr

=====

Pr2Tm2Cd (GGA-PBE, optimized geometry); energy of formation = -0.0157 eV/atom; relative energy among the computed polymorphs = 0.092 eV per atom; total DFT energy (no corrections) = -3.90 eV per atom; density = 8.076 g/cm³; SG = Cmc2_1, No. 36; magnetization = 0.0 μB per formula unit
1.0
-5.1573 0.4405 -0.7321
-0.2312 -6.4398 -2.2460
1.2294 -2.9203 8.2467
Pr Tm Cd
4 4 2
Direct
0.0036 0.8201 0.0073 Pr
0.2008 0.8245 0.4016 Pr
0.7992 0.3245 0.5984 Pr
0.9964 0.3201 0.9927 Pr
0.6084 0.0799 0.2167 Tm
0.8059 0.8363 0.6117 Tm
0.3916 0.5799 0.7833 Tm
0.1941 0.3363 0.3883 Tm
0.3918 0.0735 0.7837 Cd
0.6082 0.5735 0.2163 Cd

=====

Pr6Tm5Cd (GGA-PBE, optimized geometry); energy of formation = -0.0113 eV/atom; total DFT energy (no corrections) = -4.34 eV per atom; density = 7.725 g/cm³; SG = Immm, No. 71; magnetization = 0.0 μB per formula unit
1.0
4.9552 -0.0015 -1.3872
-3.5335 8.2440 -3.1051
-0.0096 -0.0065 9.4917
Tm Pr Cd
5 6 1
Direct
0.5000 0.5000 0.5000 Tm
0.0000 0.6634 0.3366 Tm
0.5000 0.8283 0.1717 Tm
0.0000 0.3366 0.6634 Tm
0.5000 0.1717 0.8283 Tm
0.7551 0.5881 0.9220 Pr
0.7431 0.2433 0.2433 Pr
0.2449 0.0780 0.4119 Pr
0.7551 0.9220 0.5881 Pr
0.2569 0.7567 0.7567 Pr
0.2449 0.4119 0.0780 Pr
0.0000 0.0000 0.0000 Cd

=====

Pr3Tm3Cd (GGA-PBE, optimized geometry); energy of formation = -0.0377 eV/atom; total DFT energy (no corrections) = -4.13 eV per atom; density = 7.858 g/cm³; SG = P6_3/m, No. 176; magnetization = 0.0 μB per formula unit
1.0
-4.3083 -3.3339 1.1874
1.3648 -4.6869 -8.2079
4.4315 -2.8950 7.9509
Tm Pr Cd
6 6 2
Direct
0.2500 0.8231 0.0551 Tm
0.2500 0.2321 0.1769 Tm
0.2500 0.9446 0.7678 Tm
0.7500 0.1769 0.9449 Tm
0.7500 0.0554 0.2322 Tm
0.7500 0.7679 0.8231 Tm
0.2500 0.5282 0.6342 Pr
0.7500 0.6344 0.1058 Pr
0.7500 0.8944 0.5286 Pr
0.2500 0.1056 0.4714 Pr
0.2500 0.3656 0.8942 Pr
0.7500 0.4718 0.3658 Pr
0.7500 0.3333 0.6667 Cd
0.2500 0.6667 0.3333 Cd

=====

Pr3TmCd4 (GGA-PBE, optimized geometry); energy of formation = -0.3102 eV/atom; total DFT energy (no corrections) = -3.12 eV per atom; density = 7.646 g/cm³; SG = P4/mmm, No. 123; magnetization = 1.4 μB per formula unit
1.0
-2.4209 2.9180 0.2586
-2.7473 -2.1451 -1.5142
-4.1892 -4.7448 14.3223
Cd Pr Tm
4 3 1
Direct
0.0000 0.0000 0.8893 Cd
0.0000 0.0000 0.3728 Cd
0.0000 0.0000 0.6272 Cd
0.0000 0.0000 0.1107 Cd
0.5000 0.5000 0.5000 Pr
0.5000 0.5000 0.2428 Pr
0.5000 0.5000 0.7572 Pr
0.5000 0.5000 0.0000 Tm

=====

Pr8Tm6Cd (GGA-PBE, optimized geometry); energy of formation = 0.1044 eV/atom; total DFT energy (no corrections) = -4.29 eV per atom; density = 7.527 g/cm³; SG = P-3, No. 147; magnetization = 0.0 μB per formula unit
1.0
-4.6986 4.2097 -1.5373
-5.1871 -3.1704 7.1720
5.9703 7.1432 1.3131
Tm Pr Cd
6 8 1
Direct
0.6667 0.4512 0.3510 Tm
0.3333 0.5488 0.6490 Tm
0.6667 0.6490 0.1002 Tm
0.3333 0.3510 0.8998 Tm
0.6667 0.8998 0.5488 Tm
0.3333 0.1002 0.4512 Tm
0.8498 0.3333 0.6667 Pr
0.1810 0.9569 0.7246 Pr
0.8190 0.7246 0.7678 Pr
0.1502 0.6667 0.3333 Pr
0.8190 0.2322 0.9569 Pr
0.8190 0.0431 0.2754 Pr
0.1810 0.7678 0.0431 Pr
0.1810 0.2754 0.2322 Pr
0.5000 0.0000 0.0000 Cd

=====

Pr2Tm5Cd (GGA-PBE, optimized geometry); energy of formation = -0.0195 eV/atom; total DFT energy (no corrections) = -4.12 eV per atom; density = 8.468 g/cm³; SG = Imm2, No. 44; magnetization = 0.0 μB per formula unit
1.0
6.9406 0.0000 0.0000
0.0001 6.9260 0.0006
-3.4701 -3.4632 5.0534
Tm Cd Pr
5 1 2
Direct
0.2319 0.7420 0.9694 Tm
0.2124 0.2168 0.9190 Tm
0.7066 0.2168 0.9190 Tm
0.7222 0.7260 0.4444 Tm
0.7375 0.7420 0.9694 Tm
0.2221 0.2074 0.4442 Cd
0.7221 0.2420 0.4443 Pr
0.2221 0.6841 0.4442 Pr

=====

PrTm2Cd (GGA-PBE, optimized geometry); energy of formation = 0.0445 eV/atom; relative energy among the computed polymorphs = 0.192 eV per atom; total DFT energy (no corrections) = -3.61 eV per atom; density = 8.551 g/cm³; SG = Fm-3m, No. 225; magnetization = 1.1 μB per formula unit
1.0
-2.1630 -2.2900 -4.4541
3.2534 -2.1406 -3.8203
0.2276 -5.4093 -0.6703
Cd Tm Pr
1 2 1
Direct
0.5000 0.5000 0.5000 Cd
0.2500 0.2500 0.2500 Tm
0.7500 0.7500 0.7500 Tm
0.0000 0.0000 0.0000 Pr

=====

Pr6TmCd2 (GGA-PBE, optimized geometry); energy of formation = -0.0600 eV/atom; relative energy among the computed polymorphs = 0.069 eV per atom; total DFT energy (no corrections) = -3.95 eV per atom; density = 7.172 g/cm³; SG = C2/c, No. 15; magnetization = 0.0 μB per formula unit
1.0
-1.5937 0.6011 5.8705
8.1510 -4.3238 3.8359
6.5919 7.1691 2.2358
Pr Cd Tm
12 4 2
Direct
0.9760 0.4395 0.6776 Pr
0.4760 0.6776 0.4395 Pr
0.5240 0.3224 0.5605 Pr
0.6920 0.2365 0.9916 Pr
0.8080 0.0084 0.7635 Pr
0.1920 0.9916 0.2365 Pr
0.3403 0.8935 0.6414 Pr
0.0240 0.5605 0.3224 Pr
0.8403 0.6414 0.8935 Pr
0.1597 0.3586 0.1065 Pr
0.6597 0.1065 0.3586 Pr
0.3080 0.7635 0.0084 Pr
0.4088 0.5264 0.7920 Cd
0.5912 0.4736 0.2080 Cd
0.9088 0.7920 0.5264 Cd
0.0912 0.2080 0.4736 Cd
0.2500 0.1304 0.8696 Tm
0.7500 0.8696 0.1304 Tm

=====

PrTm5Cd3 (GGA-PBE, optimized geometry); energy of formation = -0.1657 eV/atom; total DFT energy (no corrections) = -3.49 eV per atom; density = 8.820 g/cm³; SG = P6_3/mcm, No. 193; magnetization = 0.0 μB per formula unit
1.0
-4.3336 1.7490 -5.0694
-0.3258 -8.7110 -2.7268
-5.9827 3.0787 6.1764
Cd Tm Pr
6 10 2
Direct
0.7500 0.3379 0.3379 Cd
0.7500 0.0000 0.6621 Cd
0.7500 0.6620 0.0000 Cd
0.2500 0.6621 0.6621 Cd
0.2500 0.0000 0.3379 Cd
0.2500 0.3380 0.0000 Cd
0.0000 0.3333 0.6667 Tm
0.7500 0.0000 0.3351 Tm
0.0000 0.6667 0.3333 Tm
0.5000 0.3333 0.6667 Tm
0.2500 0.0000 0.6649 Tm
0.5000 0.6667 0.3333 Tm
0.7500 0.6649 0.6649 Tm
0.2500 0.3351 0.3351 Tm
0.7500 0.3351 0.0000 Tm
0.2500 0.6649 0.0000 Tm
0.5000 0.0000 0.0000 Pr
0.0000 0.0000 0.0000 Pr

=====

Copy entry 10 word for word.
PrTm2Cd (GGA-PBE, optimized geometry); energy of formation = 0.0445 eV/atom; relative energy among the computed polymorphs = 0.192 eV per atom; total DFT energy (no corrections) = -3.61 eV per atom; density = 8.551 g/cm³; SG = Fm-3m, No. 225; magnetization = 1.1 μB per formula unit
1.0
-2.1630 -2.2900 -4.4541
3.2534 -2.1406 -3.8203
0.2276 -5.4093 -0.6703
Cd Tm Pr
1 2 1
Direct
0.5000 0.5000 0.5000 Cd
0.2500 0.2500 0.2500 Tm
0.7500 0.7500 0.7500 Tm
0.0000 0.0000 0.0000 Pr

=====

Question: energy of formation of number 9 (Pr2Tm5Cd)?
Answer: -0.0195 eV/atom

=====

Question: Among the records above, which one has the highest total DFT energy (no corrections)?
Answer: Pr3TmCd4

=====

Question: Number 10 is which compound?
Answer: PrTm2Cd